(1)
A plane-wave DFT calculation with PBE-GGA was carried out for crystalline TaInRu3 at its relaxed geometry.

Results
symmetry: Pm-3m
final energy: -7.240 eV/atom
V: 21.1 A^3/atom
total moment: 1.9 Bohr magnetons per cell
DOS(E_F): 1.1091 states/eV/atom

Cell and atoms, written as CIF:
```
data_TaInRu3
_space_group_name_H-M_alt 'P 1'
_space_group_IT_number 1
_cell_length_a 4.728
_cell_length_b 4.728
_cell_length_c 4.728
_cell_angle_alpha 90.00
_cell_angle_beta 90.00
_cell_angle_gamma 90.00
loop_
_space_group_symop_operation_xyz
'x,y,z'
loop_
_atom_site_label
_atom_site_fract_x
_atom_site_fract_y
_atom_site_fract_z
Ta1 0.000 0.000 0.000
In1 0.500 0.500 0.500
Ru1 0.000 0.000 0.500
Ru2 0.000 0.500 0.000
Ru3 0.500 0.000 0.000
```

---

(2)
A plane-wave DFT calculation with PBE-GGA was carried out for crystalline SiIr at its relaxed geometry.

Results
symmetry: P-3m1
final energy: -7.248 eV/atom
V: 14.1 A^3/atom
total moment: 0.0 Bohr magnetons per cell
DOS(E_F): 0.5235 states/eV/atom

Cell and atoms, written as CIF:
```
data_SiIr
_space_group_name_H-M_alt 'P 1'
_space_group_IT_number 1
_cell_length_a 2.850
_cell_length_b 2.850
_cell_length_c 7.988
_cell_angle_alpha 90.00
_cell_angle_beta 90.00
_cell_angle_gamma 120.00
loop_
_space_group_symop_operation_xyz
'x,y,z'
loop_
_atom_site_label
_atom_site_fract_x
_atom_site_fract_y
_atom_site_fract_z
Si1 0.333 0.667 0.123
Si2 0.667 0.333 0.877
Ir1 0.333 0.667 0.651
Ir2 0.667 0.333 0.349
```